## A
{"formula": "SmGdHg", "functional": "GGA-PBE", "state": "relaxed", "lattice": [[3.710, 0.000, 0.000], [0.000, 3.710, 0.000], [-1.855, -1.855, 6.362]], "species": ["Sm", "Hg", "Gd"], "frac_coords": [[0.604, 0.604, 0.208], [0.948, 0.948, 0.897], [0.298, 0.298, 0.596]], "spacegroup": "I4mm, No. 107", "crystal_system": "tetragonal"}

=====

## B
{"formula": "SmGdHg", "functional": "GGA-PBE", "state": "relaxed", "lattice": [[5.172, 0.000, 0.000], [2.586, 4.479, 0.000], [2.586, 1.493, 4.223]], "species": ["Hg", "Gd", "Sm"], "frac_coords": [[0.250, 0.250, 0.250], [0.000, 0.000, 0.000], [0.500, 0.500, 0.500]], "spacegroup": "F-43m, No. 216", "crystal_system": "cubic"}

=====

## C
{"formula": "SmGdHg", "functional": "GGA-PBE", "state": "relaxed", "lattice": [[3.753, 0.000, 0.000], [0.000, 5.192, 0.000], [0.000, -2.596, 4.496]], "species": ["Hg", "Sm", "Gd"], "frac_coords": [[0.652, 0.667, 0.333], [0.949, 0.000, 0.000], [0.398, 0.333, 0.667]], "spacegroup": "P3m1, No. 156", "crystal_system": "trigonal"}

=====

Stability, highest: A